1.
Material: Sc2ZnCl
Method: DFT, PBE-GGA
State: relaxed

Cell lengths 3.6380, 5.7685, 7.9503 Å; angles 90.00, 90.00, 90.00 degrees
With the nearest neighbours (Å) after each atom.
Space group Immm (No. 71)
Symmetry-distinct sites (fractional):
Sc 0.0000 0.0000 0.2256  2 Cl 2.55, 2 Zn 2.84
Zn 0.0000 0.5000 0.0000  4 Sc 2.84
Cl 0.0000 0.5000 0.5000  4 Sc 2.55

Summary:
Fermi-level density of states ... 1.19 states/eV/atom
ΔE to the lowest computed polymorph ... 263.6 meV/atom
E_form (uncorrected) ... -0.46 eV per atom


2.
Material: ScZn4Cl
Method: DFT, PBE-GGA
State: relaxed

Cell lengths 7.6186, 7.6186, 7.6186 Å; angles 90.00, 90.00, 90.00 degrees
With the nearest neighbours (Å) after each atom.
Space group F-43m (No. 216)
Symmetry-distinct sites (fractional):
Sc 0.0000 0.0000 0.0000  12 Zn 3.15, 4 Cl 3.30
Zn 0.1269 0.1269 0.6269  6 Zn 2.65-2.73
Cl 0.2500 0.2500 0.2500  12 Zn 3.16, 4 Sc 3.30

Summary:
Fermi-level density of states ... 0.81 states/eV/atom
E_form (uncorrected) ... -0.06 eV per atom


3.
Material: Sc2ZnCl
Method: DFT, PBE-GGA
State: relaxed

Cell lengths 3.6318, 5.2477, 8.4097 Å; angles 90.00, 90.00, 90.00 degrees
With the nearest neighbours (Å) after each atom.
Space group Cmmm (No. 65)
Symmetry-distinct sites (fractional):
Sc 0.0000 0.0000 0.2501  2 Cl 2.78, 2 Zn 2.78
Zn 0.0000 0.5000 0.0000  4 Sc 2.78
Cl 0.0000 0.5000 0.5000  4 Sc 2.78

Summary:
Fermi-level density of states ... 1.13 states/eV/atom
ΔE to the lowest computed polymorph ... 206.1 meV/atom
E_form (uncorrected) ... -0.52 eV per atom


4.
Material: Sc2ZnCl
Method: DFT, PBE-GGA
State: relaxed

Cell lengths 3.8713, 3.8713, 10.9595 Å; angles 90.00, 90.00, 90.00 degrees
With the nearest neighbours (Å) after each atom.
Space group I-4m2 (No. 119)
Symmetry-distinct sites (fractional):
Sc 0.0000 0.0000 0.0000  4 Cl 2.74
Sc 0.0000 0.5000 0.2500  4 Zn 2.74
Zn 0.0000 0.5000 0.7500  4 Sc 2.74
Cl 0.0000 0.0000 0.5000  4 Sc 2.74

Summary:
Fermi-level density of states ... 1.08 states/eV/atom
ΔE to the lowest computed polymorph ... 389.6 meV/atom
E_form (uncorrected) ... -0.34 eV per atom


5.
Material: ScZnCl2
Method: DFT, PBE-GGA
State: relaxed

Cell lengths 3.7490, 5.7484, 8.8074 Å; angles 90.00, 90.00, 90.00 degrees
With the nearest neighbours (Å) after each atom.
Space group Cmm2 (No. 35)
Symmetry-distinct sites (fractional):
Sc 0.0000 0.0000 0.0000  2 Cl 2.54, 2 Zn 2.76
Zn 0.0000 0.5000 0.2305  2 Cl 2.38
Cl 0.0000 0.0000 0.3978  2 Zn 2.38
Cl 0.0000 0.5000 0.8052  2 Sc 2.54

Summary:
Fermi-level density of states ... 0.51 states/eV/atom
ΔE to the lowest computed polymorph ... 207.5 meV/atom
E_form (uncorrected) ... -0.97 eV per atom


6.
Material: ScZn2Cl
Method: DFT, PBE-GGA
State: relaxed

Cell lengths 3.0908, 4.2606, 5.7145 Å; angles 90.00, 90.00, 90.00 degrees
With the nearest neighbours (Å) after each atom.
Space group Pmmm (No. 47)
Symmetry-distinct sites (fractional):
Sc 0.0000 0.0000 0.0000  4 Cl 2.63
Zn 0.0000 0.5000 0.5000  4 Zn 2.63
Zn 0.5000 0.0000 0.5000  4 Zn 2.63
Cl 0.5000 0.5000 0.0000  4 Sc 2.63

Summary:
Fermi-level density of states ... 0.67 states/eV/atom
ΔE to the lowest computed polymorph ... 135.1 meV/atom
E_form (uncorrected) ... -0.42 eV per atom